# 1
K2Zr2ZnH12O6F12 | PBE | relaxed

Results
**Uncorrected energy**: -5.36 eV per atom
**Total magnetic moment**: 0.0 Bohr magnetons per cell

Lattice parameters (Å, degrees): 6.307 9.708 12.563 90.00 114.85 90.00
Atoms (fractional coordinates):
1 K 0.091 0.215 0.074
2 K 0.091 0.285 0.574
3 K 0.909 0.715 0.426
4 K 0.909 0.785 0.926
5 Zr 0.305 0.017 0.847
6 Zr 0.305 0.483 0.347
7 Zr 0.695 0.517 0.653
8 Zr 0.695 0.983 0.153
9 Zn 0.500 0.000 0.500
10 Zn 0.500 0.500 0.000
11 H 0.078 0.065 0.390
12 H 0.078 0.435 0.890
13 H 0.226 0.186 0.373
14 H 0.226 0.314 0.873
15 H 0.248 0.573 0.105
16 H 0.248 0.927 0.605
17 H 0.286 0.693 0.826
18 H 0.286 0.807 0.326
19 H 0.361 0.563 0.771
20 H 0.361 0.937 0.271
21 H 0.419 0.697 0.116
22 H 0.419 0.803 0.616
23 H 0.581 0.197 0.384
24 H 0.581 0.303 0.884
25 H 0.639 0.063 0.729
26 H 0.639 0.437 0.229
27 H 0.714 0.193 0.674
28 H 0.714 0.307 0.174
29 H 0.752 0.073 0.395
30 H 0.752 0.427 0.895
31 H 0.774 0.686 0.127
32 H 0.774 0.814 0.627
33 H 0.922 0.565 0.110
34 H 0.922 0.935 0.610
35 O 0.213 0.127 0.434
36 O 0.213 0.373 0.934
37 O 0.303 0.634 0.059
38 O 0.303 0.866 0.559
39 O 0.395 0.614 0.844
40 O 0.395 0.886 0.344
41 O 0.605 0.114 0.656
42 O 0.605 0.386 0.156
43 O 0.697 0.134 0.441
44 O 0.697 0.366 0.941
45 O 0.787 0.627 0.066
46 O 0.787 0.873 0.566
47 F 0.047 0.069 0.893
48 F 0.047 0.431 0.393
49 F 0.129 0.035 0.664
50 F 0.129 0.465 0.164
51 F 0.133 0.667 0.292
52 F 0.133 0.833 0.792
53 F 0.341 0.219 0.803
54 F 0.341 0.281 0.303
55 F 0.412 0.040 0.178
56 F 0.412 0.460 0.678
57 F 0.454 0.620 0.495
58 F 0.454 0.880 0.995
59 F 0.546 0.120 0.005
60 F 0.546 0.380 0.505
61 F 0.588 0.540 0.322
62 F 0.588 0.960 0.822
63 F 0.659 0.719 0.697
64 F 0.659 0.781 0.197
65 F 0.867 0.167 0.208
66 F 0.867 0.333 0.708
67 F 0.871 0.535 0.836
68 F 0.871 0.965 0.336
69 F 0.953 0.569 0.607
70 F 0.953 0.931 0.107

=====

# 2
KZrHOF4 | PBE | relaxed

Results
**Uncorrected energy**: -6.08 eV per atom
**Total magnetic moment**: 0.0 Bohr magnetons per cell

Lattice parameters (Å, degrees): 5.050 5.901 7.112 90.00 107.68 90.00
Atoms (fractional coordinates):
1 K 0.177 0.000 0.346
2 K 0.823 0.500 0.654
3 Zr 0.457 0.038 0.886
4 Zr 0.543 0.538 0.114
5 H 0.222 0.533 0.344
6 H 0.778 0.033 0.656
7 O 0.408 0.587 0.347
8 O 0.592 0.087 0.653
9 F 0.086 0.983 0.671
10 F 0.211 0.775 0.989
11 F 0.306 0.382 0.824
12 F 0.375 0.215 0.135
13 F 0.625 0.715 0.865
14 F 0.694 0.882 0.176
15 F 0.789 0.275 0.011
16 F 0.914 0.483 0.329

=====

# 3
LuH2PbO2F3 | PBE | relaxed

Results
**Uncorrected energy**: -5.79 eV per atom
**Total magnetic moment**: 0.0 Bohr magnetons per cell

Lattice parameters (Å, degrees): 5.211 6.263 7.161 75.92 88.99 71.25
Atoms (fractional coordinates):
1 Lu 0.189 0.277 0.176
2 Lu 0.811 0.723 0.824
3 H 0.253 0.711 0.060
4 H 0.271 0.652 0.603
5 H 0.729 0.348 0.397
6 H 0.747 0.289 0.940
7 Pb 0.197 0.202 0.679
8 Pb 0.803 0.798 0.321
9 O 0.089 0.660 0.069
10 O 0.102 0.607 0.617
11 O 0.898 0.393 0.383
12 O 0.911 0.340 0.931
13 F 0.191 0.943 0.301
14 F 0.469 0.280 0.379
15 F 0.487 0.229 0.976
16 F 0.513 0.771 0.024
17 F 0.531 0.720 0.621
18 F 0.809 0.057 0.699

=====

# 4
Na2H18PtN6F6 | PBE | relaxed

Results
**Uncorrected energy**: -4.76 eV per atom
**Total magnetic moment**: 0.0 Bohr magnetons per cell

Lattice parameters (Å, degrees): 7.855 7.855 12.338 116.14 116.14 60.74
Atoms (fractional coordinates):
1 Na 0.089 0.229 0.311
2 Na 0.229 0.089 0.811
3 Na 0.771 0.911 0.189
4 Na 0.911 0.771 0.689
5 H 0.095 0.461 0.132
6 H 0.133 0.646 0.125
7 H 0.170 0.628 0.263
8 H 0.213 0.481 0.573
9 H 0.214 0.379 0.732
10 H 0.220 0.576 0.860
11 H 0.253 0.553 0.483
12 H 0.336 0.408 0.015
13 H 0.354 0.867 0.375
14 H 0.372 0.830 0.237
15 H 0.376 0.490 0.779
16 H 0.379 0.214 0.232
17 H 0.408 0.336 0.515
18 H 0.424 0.780 0.640
19 H 0.447 0.747 0.017
20 H 0.461 0.095 0.632
21 H 0.481 0.213 0.073
22 H 0.490 0.376 0.279
23 H 0.510 0.624 0.721
24 H 0.519 0.787 0.927
25 H 0.539 0.905 0.368
26 H 0.553 0.253 0.983
27 H 0.576 0.220 0.360
28 H 0.592 0.664 0.485
29 H 0.621 0.786 0.768
30 H 0.624 0.510 0.221
31 H 0.628 0.170 0.763
32 H 0.646 0.133 0.625
33 H 0.664 0.592 0.985
34 H 0.747 0.447 0.517
35 H 0.780 0.424 0.140
36 H 0.786 0.621 0.268
37 H 0.787 0.519 0.427
38 H 0.830 0.372 0.737
39 H 0.867 0.354 0.875
40 H 0.905 0.539 0.868
41 Pt 0.000 0.000 0.000
42 Pt 0.000 0.000 0.500
43 N 0.079 0.611 0.172
44 N 0.231 0.517 0.770
45 N 0.258 0.429 0.495
46 N 0.389 0.921 0.328
47 N 0.429 0.258 0.995
48 N 0.483 0.769 0.730
49 N 0.517 0.231 0.270
50 N 0.571 0.742 0.005
51 N 0.611 0.079 0.672
52 N 0.742 0.571 0.505
53 N 0.769 0.483 0.230
54 N 0.921 0.389 0.828
55 F 0.049 0.886 0.628
56 F 0.114 0.951 0.872
57 F 0.144 0.185 0.125
58 F 0.185 0.144 0.625
59 F 0.223 0.756 0.049
60 F 0.244 0.777 0.451
61 F 0.756 0.223 0.549
62 F 0.777 0.244 0.951
63 F 0.815 0.856 0.375
64 F 0.856 0.815 0.875
65 F 0.886 0.049 0.128
66 F 0.951 0.114 0.372

=====

# 5
ReH8N2F6 | PBE | relaxed

Results
**Uncorrected energy**: -5.20 eV per atom
**Total magnetic moment**: 3.0 Bohr magnetons per cell

Lattice parameters (Å, degrees): 5.751 5.751 4.541 90.00 90.00 120.00
Atoms (fractional coordinates):
1 Re 0.000 0.000 0.000
2 H 0.237 0.474 0.624
3 H 0.237 0.763 0.624
4 H 0.333 0.667 0.932
5 H 0.474 0.237 0.376
6 H 0.526 0.763 0.624
7 H 0.667 0.333 0.068
8 H 0.763 0.237 0.376
9 H 0.763 0.526 0.376
10 N 0.333 0.667 0.706
11 N 0.667 0.333 0.294
12 F 0.165 0.330 0.238
13 F 0.165 0.835 0.238
14 F 0.330 0.165 0.762
15 F 0.670 0.835 0.238
16 F 0.835 0.165 0.762
17 F 0.835 0.670 0.762

=====

# 6
TcH4N2F2 | PBE | relaxed

Results
**Uncorrected energy**: -5.73 eV per atom
**Total magnetic moment**: 3.0 Bohr magnetons per cell

Lattice parameters (Å, degrees): 5.476 5.476 4.895 105.66 105.66 33.48
Atoms (fractional coordinates):
1 Tc 0.000 0.000 0.000
2 H 0.292 0.292 0.773
3 H 0.389 0.389 0.554
4 H 0.611 0.611 0.446
5 H 0.708 0.708 0.227
6 N 0.389 0.389 0.763
7 N 0.611 0.611 0.237
8 F 0.119 0.119 0.756
9 F 0.881 0.881 0.244

=====

# 7
ZrH8N2F6 | PBE | relaxed

Results
**Uncorrected energy**: -5.42 eV per atom
**Total magnetic moment**: 0.0 Bohr magnetons per cell

Lattice parameters (Å, degrees): 5.724 5.724 4.528 90.00 90.00 120.00
Atoms (fractional coordinates):
1 Zr 0.000 0.000 0.000
2 H 0.238 0.475 0.376
3 H 0.238 0.762 0.376
4 H 0.333 0.667 0.061
5 H 0.475 0.238 0.624
6 H 0.525 0.762 0.376
7 H 0.667 0.333 0.939
8 H 0.762 0.238 0.624
9 H 0.762 0.525 0.624
10 N 0.333 0.667 0.288
11 N 0.667 0.333 0.712
12 F 0.168 0.337 0.751
13 F 0.168 0.832 0.751
14 F 0.337 0.168 0.249
15 F 0.663 0.832 0.751
16 F 0.832 0.168 0.249
17 F 0.832 0.663 0.249

=====

# 8
NdH2O2F | PBE | relaxed

Results
**Uncorrected energy**: -6.29 eV per atom
**Total magnetic moment**: 0.0 Bohr magnetons per cell

Lattice parameters (Å, degrees): 6.099 3.708 6.171 90.00 117.76 90.00
Atoms (fractional coordinates):
1 Nd 0.167 0.250 0.325
2 Nd 0.833 0.750 0.675
3 H 0.242 0.250 0.865
4 H 0.356 0.750 0.748
5 H 0.644 0.250 0.252
6 H 0.758 0.750 0.135
7 O 0.110 0.250 0.912
8 O 0.194 0.750 0.604
9 O 0.806 0.250 0.396
10 O 0.890 0.750 0.088
11 F 0.431 0.750 0.307
12 F 0.569 0.250 0.693

=====

> Which value of total magnetic moment does entry 7 give?

0.0 Bohr magnetons per cell

=====

> Among the records above, which one has the highest uncorrected energy?

Na2H18PtN6F6